[1]
PPbN2 | GGA-PBE | relaxed

abc: 4.0611 4.0611 17.1338
angles: 90.00 90.00 120.00
With the nearest neighbours (Å) after each atom.
Space group R-3m (No. 166, hexagonal axes)
Inequivalent atoms, fractional coordinates:
P 0.0000 0.0000 0.0000 [3 per cell]  2 N 1.56
Pb 0.0000 0.0000 0.5000 [3 per cell]  6 N 2.68
N 0.0000 0.0000 0.0909 [6 per cell]  1 P 1.56

Properties
Volume, A^3/atom: 20.393
E_tot, eV per atom: -5.88
Crystal system: trigonal
Theoretical density, g cm⁻³: 5.4

[2]
Er3BiSe6 | GGA-PBE | relaxed

abc: 11.7124 4.1427 11.8321
angles: 90.00 109.53 90.00
With the nearest neighbours (Å) after each atom.
Space group P2_1/m (No. 11)
Inequivalent atoms, fractional coordinates:
Er 0.0675 0.2500 0.1650 [2 per cell]  6 Se 2.84-2.87
Er 0.1692 0.7500 0.4940 [2 per cell]  5 Se 2.78-2.98
Er 0.3408 0.2500 0.9196 [2 per cell]  6 Se 2.83-2.85
Bi 0.4785 0.2500 0.3139 [2 per cell]  6 Se 2.90-3.23
Se 0.0148 0.2500 0.3823 [2 per cell]  4 Er 2.78-2.98
Se 0.1062 0.2500 0.9381 [2 per cell]  4 Er 2.83-2.87
Se 0.2329 0.7500 0.2775 [2 per cell]  3 Er 2.84-2.90
Se 0.2997 0.7500 0.7457 [2 per cell]  3 Er 2.85-2.86, 1 Bi 2.91
Se 0.3817 0.2500 0.5274 [2 per cell]  3 Bi 2.90-3.10, 2 Er 3.16
Se 0.4198 0.7500 0.0918 [2 per cell]  3 Er 2.84-2.85

Properties
Volume, A^3/atom: 27.054
E_tot, eV per atom: -5.31
Crystal system: monoclinic
Theoretical density, g cm⁻³: 7.3